First-principles (GGA-PBE) data for crystalline NaTl2BiBr6 at its relaxed geometry, as listed in Alexandria via LeMat-Bulk.

```
NaTl2BiBr6
1.0
7.6849 0.0000 0.0327
0.0000 8.2542 0.0000
0.1141 0.0000 11.1635
Br Bi Na Tl
12 2 2 4
Direct
0.6917 0.3133 0.9477
0.3853 0.9690 0.7466
0.6147 0.0310 0.2534
0.8193 0.7977 0.9439
0.8853 0.5310 0.2466
0.1807 0.2023 0.0561
0.3083 0.6867 0.0523
0.6807 0.2977 0.5561
0.3193 0.7023 0.4439
0.8083 0.8133 0.5523
0.1147 0.4690 0.7534
0.1917 0.1867 0.4477
0.0000 0.5000 0.0000
0.5000 0.0000 0.5000
0.0000 0.5000 0.5000
0.5000 0.0000 0.0000
0.9687 0.0840 0.7486
0.5313 0.5840 0.7514
0.4687 0.4160 0.2486
0.0313 0.9160 0.2514
```

Properties
space-group type: No. 14
ΔE_f (raw): -963.3 meV/atom

First-principles (GGA-PBE) data for crystalline LaCr2Rh at its relaxed geometry, as listed in Alexandria via LeMat-Bulk.

```
LaCr2Rh
1.0
5.2693 -0.4870 0.0000
2.3068 4.7625 0.0000
-3.7881 -2.1377 3.0139
La Cr Rh
1 2 1
Direct
0.2500 0.7500 0.5000
0.5000 0.5000 0.0000
0.0000 0.0000 0.0000
0.7500 0.2500 0.5000
```

Properties
relative energy among the computed polymorphs: 290 meV per atom
energy of formation from the pure elements: 395 meV/atom
space-group type: No. 139

First-principles (GGA-PBE) data for crystalline K2MnPb at its relaxed geometry, as listed in Alexandria via LeMat-Bulk.

```
K2MnPb
1.0
3.7461 0.0000 0.0000
0.0000 5.7815 0.0000
0.0000 0.0000 6.2784
K Mn Pb
2 1 1
Direct
0.0000 0.0000 0.9969
0.0000 0.0000 0.5031
0.5000 0.5000 0.2500
0.5000 0.5000 0.7500
```

Properties
energy of formation from the pure elements: 511 meV/atom
space-group type: No. 47

First-principles (GGA-PBE) data for crystalline CeLuTiCd at its relaxed geometry, as listed in Alexandria via LeMat-Bulk.

```
CeLuTiCd
1.0
-5.1515 0.6846 0.3002
-3.2210 -3.5847 -1.9676
-2.8399 -2.9777 3.1883
Lu Ti Cd Ce
1 1 1 1
Direct
0.0000 0.0000 0.0000
0.2500 0.2500 0.2500
0.7500 0.7500 0.7500
0.5000 0.5000 0.5000
```

Properties
energy of formation from the pure elements: 72 meV/atom
space-group type: No. 216

First-principles (GGA-PBE) data for crystalline K8Na6Au at its relaxed geometry, as listed in Alexandria via LeMat-Bulk.

```
K8Na6Au
1.0
-8.5904 1.9710 -3.8665
-1.6858 -6.8818 -6.5137
-6.2575 -6.0906 4.0469
Na K Au
6 8 1
Direct
0.5963 0.2078 0.4702
0.7922 0.5298 0.4037
0.4702 0.5963 0.2078
0.4037 0.7922 0.5298
0.2078 0.4702 0.5963
0.5298 0.4037 0.7922
0.8610 0.3337 0.0570
0.0570 0.8610 0.3337
0.3337 0.0570 0.8610
0.6663 0.9430 0.1390
0.9430 0.1390 0.6663
0.7375 0.7375 0.7375
0.2625 0.2625 0.2625
0.1390 0.6663 0.9430
0.0000 0.0000 0.0000
```

Properties
energy of formation from the pure elements: -16 meV/atom
space-group type: No. 148

First-principles (GGA-PBE) data for crystalline Mn2CoCuC at its relaxed geometry, as listed in Alexandria via LeMat-Bulk.

```
Mn2CoCuC
1.0
4.3408 0.0000 0.0000
0.0000 3.4587 0.0000
0.0000 0.0000 4.3408
Co Mn C Cu
1 2 1 1
Direct
0.0000 0.0000 0.0000
0.5000 0.0000 0.0000
0.0000 0.0000 0.5000
0.0000 0.5000 0.0000
0.5000 0.5000 0.5000
```

Properties
relative energy among the computed polymorphs: 1501 meV per atom
energy of formation from the pure elements: 1587 meV/atom
space-group type: No. 123

First-principles (GGA-PBE) data for crystalline Y2ZrW at its relaxed geometry, as listed in Alexandria via LeMat-Bulk.

```
Y2ZrW
1.0
3.6204 -2.9585 2.0952
2.4739 1.5681 4.2037
-0.8617 -2.3102 4.4911
Zr Y W
1 2 1
Direct
0.0000 0.0000 0.0000
0.7500 0.7500 0.7500
0.2500 0.2500 0.2500
0.5000 0.5000 0.5000
```

Properties
relative energy among the computed polymorphs: 364 meV per atom
energy of formation from the pure elements: 594 meV/atom
space-group type: No. 225

First-principles (GGA-PBE) data for crystalline ThTlTe2O8 at its relaxed geometry, as listed in Alexandria via LeMat-Bulk.

```
ThTlTe2O8
1.0
6.1796 0.0000 0.0000
-3.0898 5.3517 0.0000
0.0000 0.0000 8.0043
Th Tl O Te
1 1 8 2
Direct
0.0000 0.0000 0.5000
0.0000 0.0000 0.0000
0.8344 0.6629 0.3234
0.3333 0.6667 0.9973
0.1656 0.3371 0.6766
0.6667 0.3333 0.0027
0.3371 0.1714 0.3234
0.6629 0.8286 0.6766
0.1714 0.8344 0.6766
0.8286 0.1656 0.3234
0.3333 0.6667 0.7676
0.6667 0.3333 0.2324
```

Properties
space-group type: No. 147
ΔE_f (raw): -1465.4 meV/atom

First-principles (GGA-PBE) data for crystalline Ca2MoP at its relaxed geometry, as listed in Alexandria via LeMat-Bulk.

```
Ca2MoP
1.0
9.5706 -0.0084 -0.0050
9.0044 3.2432 -0.0050
9.0044 1.5681 2.8390
Mo Ca P
1 2 1
Direct
0.2500 0.2500 0.2500
0.4925 0.4925 0.4925
0.0075 0.0075 0.0075
0.7500 0.7500 0.7500
```

Properties
energy of formation from the pure elements: 376 meV/atom
space-group type: No. 166

First-principles (GGA-PBE) data for crystalline LaZnIn2Co at its relaxed geometry, as listed in Alexandria via LeMat-Bulk.

```
LaZnIn2Co
1.0
5.0154 0.0000 0.0000
0.0000 5.0154 0.0000
0.0000 0.0000 5.0080
In Co Zn La
2 1 1 1
Direct
0.5000 0.0000 0.0000
0.0000 0.5000 0.0000
0.0000 0.0000 0.0000
0.5000 0.5000 0.5000
0.0000 0.0000 0.5000
```

Properties
relative energy among the computed polymorphs: 34 meV per atom
energy of formation from the pure elements: -187 meV/atom
space-group type: No. 123

First-principles (GGA-PBE) data for crystalline KCo2Ir at its relaxed geometry, as listed in Alexandria via LeMat-Bulk.

```
KCo2Ir
1.0
3.9980 0.0000 0.0000
0.0000 2.6603 0.0476
0.0000 1.1948 7.2513
Co K Ir
2 1 1
Direct
0.5000 0.0498 0.2754
0.0000 0.1412 0.0925
0.5000 0.8147 0.7448
0.0000 0.4942 0.3873
```

Properties
relative energy among the computed polymorphs: 86 meV per atom
energy of formation from the pure elements: 663 meV/atom
space-group type: No. 38

First-principles (GGA-PBE) data for crystalline RbAcIr2O8 at its relaxed geometry, as listed in Alexandria via LeMat-Bulk.

```
RbAcIr2O8
1.0
6.1438 0.0000 0.0000
-3.0719 5.3207 0.0000
0.0000 0.0000 8.3321
Ir Rb O Ac
2 1 8 1
Direct
0.6667 0.3333 0.2184
0.3333 0.6667 0.7816
0.0000 0.0000 0.0000
0.8215 0.1710 0.3073
0.1710 0.3495 0.6927
0.6667 0.3333 0.0051
0.3495 0.1785 0.3073
0.3333 0.6667 0.9949
0.8290 0.6505 0.3073
0.1785 0.8290 0.6927
0.6505 0.8215 0.6927
0.0000 0.0000 0.5000
```

Properties
space-group type: No. 147
ΔE_f (raw): -1169.6 meV/atom

| no. | total magnetic moment (μB per atom) |
| --- | --- |
| 1 | 0.00 |
| 2 | 2.25 |
| 3 | 1.08 |
| 4 | 0.66 |
| 5 | 0.00 |
| 6 | 0.05 |
| 7 | 0.00 |
| 8 | 0.04 |
| 9 | 0.11 |
| 10 | 0.00 |
| 11 | 0.88 |
| 12 | 0.18 |